## ErAlCoPd (GGA-PBE)

Data for ErAlCoPd after structural relaxation.

V = 16.38 Å³ per atom
formation energy from the elements = -0.55 eV per atom
DOS at the Fermi energy = 0.74 states/eV per atom

a b c (Å): 6.3994 6.3994 6.3994
angles (deg): 90.00 90.00 90.00
Space group F-43m (No. 216)
One atom of each set of equivalent atoms:
Er 0.0000 0.0000 0.0000 (multiplicity 4)
Al 0.0000 0.0000 0.5000 (multiplicity 4)
Co 0.2500 0.2500 0.2500 (multiplicity 4)
Pd 0.2500 0.2500 0.7500 (multiplicity 4)

=====

## Pr2ErAl12Co3 (GGA-PBE)

Data for Pr2ErAl12Co3 after structural relaxation.

V = 21.51 Å³ per atom
formation energy from the elements = 0.01 eV per atom
DOS at the Fermi energy = 0.58 states/eV per atom

a b c (Å): 8.4276 8.4276 18.8879
angles (deg): 90.00 90.00 120.00
Space group R-3m (No. 166, hexagonal axes)
One atom of each set of equivalent atoms:
Pr 0.0000 0.0000 0.0853 (multiplicity 6)
Er 0.0000 0.0000 0.5000 (multiplicity 3)
Al 0.0843 0.5421 0.3187 (multiplicity 18)
Al 0.0866 0.5433 0.8836 (multiplicity 18)
Co 0.0000 0.5000 0.0000 (multiplicity 9)

=====

## Er2Al4CoPt3 (GGA-PBE)

Data for Er2Al4CoPt3 after structural relaxation.

V = 17.82 Å³ per atom
formation energy from the elements = -0.97 eV per atom
DOS at the Fermi energy = 0.59 states/eV per atom

a b c (Å): 4.0968 4.0968 10.6158
angles (deg): 90.00 90.00 90.00
Space group P-4m2 (No. 115)
One atom of each set of equivalent atoms:
Er 0.0000 0.5000 0.2402 (multiplicity 2)
Al 0.0000 0.0000 0.5000 (multiplicity 1)
Al 0.0000 0.5000 0.8759 (multiplicity 2)
Al 0.5000 0.5000 0.5000 (multiplicity 1)
Co 0.5000 0.5000 0.0000 (multiplicity 1)
Pt 0.0000 0.0000 0.0000 (multiplicity 1)
Pt 0.0000 0.5000 0.6414 (multiplicity 2)

=====

## ErAlCoRh (GGA-PBE)

Data for ErAlCoRh after structural relaxation.

V = 15.70 Å³ per atom
formation energy from the elements = -0.62 eV per atom
DOS at the Fermi energy = 0.24 states/eV per atom

a b c (Å): 6.3102 6.3102 6.3102
angles (deg): 90.00 90.00 90.00
Space group F-43m (No. 216)
One atom of each set of equivalent atoms:
Er 0.0000 0.0000 0.0000 (multiplicity 4)
Al 0.0000 0.0000 0.5000 (multiplicity 4)
Co 0.2500 0.2500 0.2500 (multiplicity 4)
Rh 0.2500 0.2500 0.7500 (multiplicity 4)